(1)
Here is a geometry-optimized YTmAl4Fe2 structure from OQMD via LeMat-Bulk. Energies are from PBE-GGA.

Unit cell a=7.008 b=4.028 c=10.092 alpha=90.00 beta=90.00 gamma=90.00
Element x y z (fractional)
Y 0.000 0.000 0.000
Y 0.000 0.500 0.500
Tm 0.500 0.000 0.876
Tm 0.500 0.500 0.376
Al 0.195 0.000 0.282
Al 0.195 0.500 0.782
Al 0.308 0.000 0.594
Al 0.308 0.500 0.094
Al 0.692 0.000 0.594
Al 0.692 0.500 0.094
Al 0.805 0.000 0.282
Al 0.805 0.500 0.782
Fe 0.000 0.000 0.724
Fe 0.000 0.500 0.224
Fe 0.500 0.000 0.151
Fe 0.500 0.500 0.651

## Properties
E_tot: -45.49 eV/f.u.

(2)
Here is a geometry-optimized Al2Fe3W2 structure from OQMD via LeMat-Bulk. Energies are from PBE-GGA.

Unit cell a=6.981 b=6.981 c=6.981 alpha=33.87 beta=33.87 gamma=33.87
Element x y z (fractional)
Al 0.000 0.000 0.000
Al 0.490 0.490 0.490
Fe 0.367 0.367 0.367
Fe 0.619 0.619 0.619
Fe 0.871 0.871 0.871
W 0.240 0.240 0.240
W 0.748 0.748 0.748

## Properties
E_tot: -59.44 eV/f.u.

(3)
Here is a geometry-optimized YAlFeW structure from OQMD via LeMat-Bulk. Energies are from PBE-GGA.

Unit cell a=6.494 b=6.494 c=6.494 alpha=90.00 beta=90.00 gamma=90.00
Element x y z (fractional)
Y 0.000 0.000 0.000
Y 0.000 0.500 0.500
Y 0.500 0.000 0.500
Y 0.500 0.500 0.000
Al 0.000 0.000 0.500
Al 0.000 0.500 0.000
Al 0.500 0.000 0.000
Al 0.500 0.500 0.500
Fe 0.250 0.250 0.750
Fe 0.250 0.750 0.250
Fe 0.750 0.250 0.250
Fe 0.750 0.750 0.750
W 0.250 0.250 0.250
W 0.250 0.750 0.750
W 0.750 0.250 0.750
W 0.750 0.750 0.250

## Properties
energy above the lowest structure with this stoichiometry: 0.0 kJ per mole of atoms

(4)
Here is a geometry-optimized YAlFeW structure from OQMD via LeMat-Bulk. Energies are from PBE-GGA.

Unit cell a=6.484 b=6.484 c=6.484 alpha=90.00 beta=90.00 gamma=90.00
Element x y z (fractional)
Y 0.000 0.000 0.000
Y 0.000 0.500 0.500
Y 0.500 0.000 0.500
Y 0.500 0.500 0.000
Al 0.250 0.250 0.250
Al 0.250 0.750 0.750
Al 0.750 0.250 0.750
Al 0.750 0.750 0.250
Fe 0.000 0.000 0.500
Fe 0.000 0.500 0.000
Fe 0.500 0.000 0.000
Fe 0.500 0.500 0.500
W 0.250 0.250 0.750
W 0.250 0.750 0.250
W 0.750 0.250 0.250
W 0.750 0.750 0.750

## Properties
energy above the lowest structure with this stoichiometry: 2.5 kJ per mole of atoms

(5)
Here is a geometry-optimized Y2AlFe structure from OQMD via LeMat-Bulk. Energies are from PBE-GGA.

Unit cell a=6.872 b=6.872 c=6.872 alpha=90.00 beta=90.00 gamma=90.00
Element x y z (fractional)
Y 0.000 0.000 0.000
Y 0.000 0.500 0.500
Y 0.250 0.250 0.250
Y 0.250 0.750 0.750
Y 0.500 0.000 0.500
Y 0.500 0.500 0.000
Y 0.750 0.250 0.750
Y 0.750 0.750 0.250
Al 0.000 0.000 0.500
Al 0.000 0.500 0.000
Al 0.500 0.000 0.000
Al 0.500 0.500 0.500
Fe 0.250 0.250 0.750
Fe 0.250 0.750 0.250
Fe 0.750 0.250 0.250
Fe 0.750 0.750 0.750

## Properties
E_tot: -24.53 eV/f.u.

(6)
Here is a geometry-optimized Y2Al3Fe14 structure from OQMD via LeMat-Bulk. Energies are from PBE-GGA.

Unit cell a=8.513 b=8.513 c=8.189 alpha=90.00 beta=90.00 gamma=120.00
Element x y z (fractional)
Y 0.000 0.000 0.250
Y 0.000 0.000 0.750
Y 0.333 0.667 0.250
Y 0.667 0.333 0.750
Al 0.000 0.500 0.000
Al 0.000 0.500 0.500
Al 0.500 0.000 0.000
Al 0.500 0.000 0.500
Al 0.500 0.500 0.000
Al 0.500 0.500 0.500
Fe 0.030 0.351 0.750
Fe 0.030 0.678 0.750
Fe 0.166 0.332 0.013
Fe 0.166 0.332 0.487
Fe 0.166 0.834 0.013
Fe 0.166 0.834 0.487
Fe 0.322 0.351 0.750
Fe 0.322 0.970 0.750
Fe 0.332 0.166 0.513
Fe 0.332 0.166 0.987
Fe 0.333 0.667 0.612
Fe 0.333 0.667 0.888
Fe 0.351 0.030 0.250
Fe 0.351 0.322 0.250
Fe 0.649 0.678 0.750
Fe 0.649 0.970 0.750
Fe 0.667 0.333 0.112
Fe 0.667 0.333 0.388
Fe 0.668 0.834 0.013
Fe 0.668 0.834 0.487
Fe 0.678 0.030 0.250
Fe 0.678 0.649 0.250
Fe 0.834 0.166 0.513
Fe 0.834 0.166 0.987
Fe 0.834 0.668 0.513
Fe 0.834 0.668 0.987
Fe 0.970 0.322 0.250
Fe 0.970 0.649 0.250

## Properties
E_tot: -142.87 eV/f.u.

(7)
Here is a geometry-optimized YAlFe2 structure from OQMD via LeMat-Bulk. Energies are from PBE-GGA.

Unit cell a=6.421 b=6.421 c=6.421 alpha=90.00 beta=90.00 gamma=90.00
Element x y z (fractional)
Y 0.000 0.000 0.000
Y 0.000 0.500 0.500
Y 0.500 0.000 0.500
Y 0.500 0.500 0.000
Al 0.250 0.250 0.250
Al 0.250 0.750 0.750
Al 0.750 0.250 0.750
Al 0.750 0.750 0.250
Fe 0.000 0.000 0.500
Fe 0.000 0.500 0.000
Fe 0.250 0.250 0.750
Fe 0.250 0.750 0.250
Fe 0.500 0.000 0.000
Fe 0.500 0.500 0.500
Fe 0.750 0.250 0.250
Fe 0.750 0.750 0.750

## Properties
E_tot: -26.37 eV/f.u.

(8)
Here is a geometry-optimized YAlZnFe structure from OQMD via LeMat-Bulk. Energies are from PBE-GGA.

Unit cell a=6.552 b=6.552 c=6.552 alpha=90.00 beta=90.00 gamma=90.00
Element x y z (fractional)
Y 0.000 0.000 0.000
Y 0.000 0.500 0.500
Y 0.500 0.000 0.500
Y 0.500 0.500 0.000
Al 0.250 0.250 0.250
Al 0.250 0.750 0.750
Al 0.750 0.250 0.750
Al 0.750 0.750 0.250
Zn 0.250 0.250 0.750
Zn 0.250 0.750 0.250
Zn 0.750 0.250 0.250
Zn 0.750 0.750 0.750
Fe 0.000 0.000 0.500
Fe 0.000 0.500 0.000
Fe 0.500 0.000 0.000
Fe 0.500 0.500 0.500

## Properties
energy above the lowest structure with this stoichiometry: 1.0 kJ per mole of atoms

V, record by record: 17.8, 13.5, 17.1, 17.0, 20.3, 13.5, 16.5, 17.6 Å³/atom